[1]
DFT (GGA-PBE) results for a geometry-optimized LaBeTe2N structure.

```
LaBeTe2N
1.0
6.4349 0.0000 0.0000
0.0000 6.4349 0.0000
0.0000 0.0000 3.9887
Te N Be La
2 1 1 1
direct
0.0000 0.5000 0.0000
0.5000 0.0000 0.0000
0.0000 0.0000 0.5000
0.5000 0.5000 0.5000
0.0000 0.0000 0.0000
```

Computed properties:
For the spin magnetization, the calculation gives 0.0 μB/f.u. The uncorrected formation energy is 0.731 eV per atom. As for the excess energy over the best structure of this formula in the dataset: 5.06 eV/f.u.

=====

[2]
DFT (GGA-PBE) results for a geometry-optimized AcCePrSm structure.

```
AcCePrSm
1.0
-5.6284 -1.4871 -1.1528
-3.5418 -1.8409 4.3916
-4.4314 3.4662 1.8889
Ac Ce Sm Pr
1 1 1 1
direct
0.5000 0.5000 0.5000
0.0000 0.0000 0.0000
0.2500 0.2500 0.2500
0.7500 0.7500 0.7500
```

Computed properties:
The calculation puts the formation energy at 225 meV/atom. For the spin magnetization, the calculation gives 2.0 μB/f.u.

=====

[3]
DFT (GGA-PBE) results for a geometry-optimized Ta2ReRu structure.

```
Ta2ReRu
1.0
-2.6823 0.8983 2.9765
-2.4291 -3.0592 -1.2658
1.5627 -6.5721 6.2241
Ru Ta Re
2 4 2
direct
0.5000 0.5000 0.0000
0.2500 0.7500 0.5000
0.6240 0.1250 0.2500
0.1260 0.6250 0.2500
0.8750 0.8740 0.7500
0.3750 0.3760 0.7500
0.7500 0.2500 0.5000
0.0000 0.0000 0.0000
```

Computed properties:
The calculation puts the formation energy at 813 meV/atom. For the spin magnetization, the calculation gives 0.0 μB/f.u.